CaCe2Hg7 | PBE | relaxed

Lattice parameters (Å, degrees): 5.158 5.158 11.997 90.00 90.00 120.00
Fractional positions:
Ca: 0.000 0.000 0.000
Ce: 0.333 0.667 0.760
Ce: 0.667 0.333 0.394
Hg: 0.000 0.000 0.276
Hg: 0.000 0.000 0.582
Hg: 0.333 0.667 0.047
Hg: 0.333 0.667 0.476
Hg: 0.667 0.333 0.137
Hg: 0.667 0.333 0.651
Hg: 0.667 0.333 0.891

ρ, g/cm3: 10.36
DFT total energy, eV/cell: -18.48
Spin magnetization, μB/f.u.: 2.4